Computed, not measured: a relaxed LiNbIrPd crystal at the PBE-GGA level of DFT.

It has space group I-4m2 (No. 119), with a = 4.142 Å, b = 4.142 Å, c = 6.993 Å, α = 90.00°, β = 90.00° and γ = 90.00°. The inequivalent atoms are Li at (0.000, 0.000, 0.000), Nb at (0.000, 0.000, 0.500), Ir at (0.000, 0.500, 0.750) and Pd at (0.000, 0.500, 0.250).

The density of states at the Fermi level comes out at 0.5200 states/eV/atom. The value obtained for the formation energy is -36.1 kJ per mole of atoms. The calculation puts the total energy at -6.88 eV per atom.


Computed, not measured: a relaxed LiNbIrPt crystal at the PBE-GGA level of DFT.

It has space group I-4m2 (No. 119), with a = 4.059 Å, b = 4.059 Å, c = 7.270 Å, α = 90.00°, β = 90.00° and γ = 90.00°. The inequivalent atoms are Li at (0.000, 0.000, 0.000), Nb at (0.000, 0.000, 0.500), Ir at (0.000, 0.500, 0.750) and Pt at (0.000, 0.500, 0.250).

The density of states at the Fermi level comes out at 0.5310 states/eV/atom. The value obtained for the formation energy is -52.0 kJ per mole of atoms. The calculation puts the total energy at -7.26 eV per atom.


Computed, not measured: a relaxed Li2NbIr2S6 crystal at the PBE-GGA level of DFT.

It has space group C2/m (No. 12), with a = 5.817 Å, b = 11.023 Å, c = 6.504 Å, α = 90.00°, β = 108.26° and γ = 90.00°. The inequivalent atoms are Li at (0.000, 0.163, 0.000), Nb at (0.000, 0.000, 0.500), Ir at (0.000, 0.341, 0.500), S at (0.228, 0.500, 0.733) and S at (0.235, 0.181, 0.714).

The calculation puts the formation energy (no corrections) at -0.7004 eV per atom. The calculation puts the total energy at -5.83 eV per atom.


Computed, not measured: a relaxed LiNbSiIr crystal at the PBE-GGA level of DFT.

It has space group F-43m (No. 216), with a = 6.096 Å, b = 6.096 Å, c = 6.096 Å, α = 90.00°, β = 90.00° and γ = 90.00°. The inequivalent atoms are Li at (0.000, 0.000, 0.000), Nb at (0.250, 0.250, 0.250), Si at (0.250, 0.250, 0.750) and Ir at (0.000, 0.000, 0.500).

The density of states at the Fermi level comes out at 0.8307 states/eV/atom. The calculation puts the formation energy (no corrections) at -0.4407 eV per atom. The calculation puts the total energy at -7.01 eV per atom.


Computed, not measured: a relaxed LiNbSnIr crystal at the PBE-GGA level of DFT.

It has space group F-43m (No. 216), with a = 6.395 Å, b = 6.395 Å, c = 6.395 Å, α = 90.00°, β = 90.00° and γ = 90.00°. The inequivalent atoms are Li at (0.000, 0.000, 0.000), Nb at (0.250, 0.250, 0.250), Sn at (0.250, 0.250, 0.750) and Ir at (0.000, 0.000, 0.500).

The density of states at the Fermi level comes out at 0.6376 states/eV/atom. The value obtained for the formation energy is -32.4 kJ per mole of atoms. The calculation puts the total energy at -6.55 eV per atom.


Computed, not measured: a relaxed LiTiNbIr crystal at the PBE-GGA level of DFT.

It has space group F-43m (No. 216), with a = 6.283 Å, b = 6.283 Å, c = 6.283 Å, α = 90.00°, β = 90.00° and γ = 90.00°. The inequivalent atoms are Li at (0.000, 0.000, 0.000), Ti at (0.250, 0.250, 0.750), Nb at (0.250, 0.250, 0.250) and Ir at (0.000, 0.000, 0.500).

The density of states at the Fermi level comes out at 1.0746 states/eV/atom. The value obtained for the formation energy is -25.8 kJ per mole of atoms. The calculation puts the total energy at -7.45 eV per atom.


Computed, not measured: a relaxed LiNb2ZnIr crystal at the PBE-GGA level of DFT.

It has space group P4/mmm (No. 123), with a = 4.368 Å, b = 4.368 Å, c = 4.068 Å, α = 90.00°, β = 90.00° and γ = 90.00°. The inequivalent atoms are Li at (0.000, 0.000, 0.000), Nb at (0.000, 0.500, 0.000), Zn at (0.000, 0.000, 0.500) and Ir at (0.500, 0.500, 0.500).

The density of states at the Fermi level comes out at 0.7321 states/eV/atom. The value obtained for the formation energy is 75.4 kJ per mole of atoms. The calculation puts the total energy at -5.66 eV per atom.


Computed, not measured: a relaxed LiNdIr4 crystal at the PBE-GGA level of DFT.

It has space group F-43m (No. 216), with a = 7.523 Å, b = 7.523 Å, c = 7.523 Å, α = 90.00°, β = 90.00° and γ = 90.00°. The inequivalent atoms are Li at (0.000, 0.000, 0.000), Nd at (0.250, 0.250, 0.250) and Ir at (0.126, 0.126, 0.626).

The density of states at the Fermi level comes out at 1.0181 states/eV/atom. The value obtained for the formation energy is -37.6 kJ per mole of atoms. The calculation puts the total energy at -7.41 eV per atom.


Computed, not measured: a relaxed LiNd3Ir crystal at the PBE-GGA level of DFT.

It has space group Pm-3m (No. 221), with a = 5.617 Å, b = 5.617 Å, c = 5.617 Å, α = 90.00°, β = 90.00° and γ = 90.00°. The inequivalent atoms are Li at (0.000, 0.000, 0.000), Nd at (0.000, 0.500, 0.500) and Ir at (0.500, 0.500, 0.500).

The density of states at the Fermi level comes out at 0.8176 states/eV/atom. The energy above the most stable polymorph in this dataset comes out at 106 meV/atom. The value obtained for the formation energy is -15.1 kJ per mole of atoms. The calculation puts the total energy at -5.17 eV per atom.


Computed, not measured: a relaxed Li2NdIr crystal at the PBE-GGA level of DFT.

It has space group Fm-3m (No. 225), with a = 6.503 Å, b = 6.503 Å, c = 6.503 Å, α = 90.00°, β = 90.00° and γ = 90.00°. The inequivalent atoms are Li at (0.250, 0.250, 0.250), Nd at (0.000, 0.000, 0.000) and Ir at (0.000, 0.000, 0.500).

The density of states at the Fermi level comes out at 0.4246 states/eV/atom. The value obtained for the formation energy is -11.6 kJ per mole of atoms. The calculation puts the total energy at -4.48 eV per atom.


Computed, not measured: a relaxed LiNd3Ir crystal at the PBE-GGA level of DFT.

It has space group P2_1/c (No. 14), with a = 9.199 Å, b = 6.991 Å, c = 10.542 Å, α = 90.00°, β = 120.44° and γ = 90.00°. The inequivalent atoms are Li at (0.015, 0.194, 0.009), Nd at (0.201, 0.006, 0.796), Nd at (0.257, 0.000, 0.442), Nd at (0.398, 0.554, 0.690) and Ir at (0.491, 0.714, 0.472).

The density of states at the Fermi level comes out at 1.0250 states/eV/atom. The energy above the most stable polymorph in this dataset comes out at 0 meV/atom. The value obtained for the formation energy is -25.3 kJ per mole of atoms. The calculation puts the total energy at -5.28 eV per atom.


Computed, not measured: a relaxed LiNdNiIr crystal at the PBE-GGA level of DFT.

It has space group F-43m (No. 216), with a = 6.418 Å, b = 6.418 Å, c = 6.418 Å, α = 90.00°, β = 90.00° and γ = 90.00°. The inequivalent atoms are Li at (0.000, 0.000, 0.000), Nd at (0.250, 0.250, 0.750), Ni at (0.000, 0.000, 0.500) and Ir at (0.250, 0.250, 0.250).

The density of states at the Fermi level comes out at 1.1392 states/eV/atom. The value obtained for the formation energy is -16.1 kJ per mole of atoms. The calculation puts the total energy at -5.50 eV per atom.


Computed, not measured: a relaxed LiNd2IrO6 crystal at the PBE-GGA level of DFT.

It has space group P2_1/c (No. 14), with a = 5.450 Å, b = 5.841 Å, c = 9.457 Å, α = 90.00°, β = 124.61° and γ = 90.00°. The inequivalent atoms are Li at (0.000, 0.000, 0.000), Nd at (0.230, 0.074, 0.748), Ir at (0.500, 0.000, 0.500), O at (0.152, 0.187, 0.451), O at (0.268, 0.711, 0.447) and O at (0.353, 0.030, 0.254).

The density of states at the Fermi level comes out at 0.4594 states/eV/atom. The calculation puts the formation energy (no corrections) at -2.2933 eV per atom. The calculation puts the total energy at -7.30 eV per atom.